A relaxed SrH3S crystal. Source: the Alexandria database, functional PBE-GGA.

Cell: 4.2587 4.2587 4.2587 Å, 90.00 90.00 90.00°
With the nearest neighbours (Å) after each atom.
Fractional positions:
Sr 0.0000 0.0000 0.0000  6 H 2.13
S 0.5000 0.5000 0.5000  12 H 3.01
H 0.0000 0.5000 0.0000  2 Sr 2.13
H 0.0000 0.0000 0.5000  2 Sr 2.13
H 0.5000 0.0000 0.0000  2 Sr 2.13

## Properties
As for the symmetry: Pm-3m, No. 221. For the energy above the most stable polymorph in this dataset, the calculation gives 0.440 eV/atom. The magnetization comes out at 0.000 μB per atom.